Entry 1:
# Ti6CoNi3, relaxed, DFT PBE
data_Ti6CoNi3
_chemical_formula_sum 'Ti12 Co2 Ni6'
_symmetry_space_group_name_H-M 'C 1 2/m 1'
_symmetry_Int_Tables_number 12
_symmetry_space_group_name_Hall '-C 2y'
_cell_length_a 8.479
_cell_length_b 5.287
_cell_length_c 6.809
_cell_angle_alpha 90.00
_cell_angle_beta 109.20
_cell_angle_gamma 90.00
loop_
_atom_site_label
_atom_site_type_symbol
_atom_site_fract_x
_atom_site_fract_y
_atom_site_fract_z
Ti1 Ti 0.148 0.248 0.300
Ti2 Ti 0.153 0.500 0.929
Co1 Co 0.000 0.000 0.000
Ni1 Ni 0.000 0.500 0.500
Ni2 Ni 0.104 0.000 0.682
# Calculated formation energy (meV per atom): -173

Entry 2:
# Ti4Co2Ni, relaxed, DFT PBE
data_Ti4Co2Ni
_chemical_formula_sum 'Ti4 Co2 Ni1'
_symmetry_space_group_name_H-M 'P 4/m m m'
_symmetry_Int_Tables_number 123
_symmetry_space_group_name_Hall '-P 4 2'
_cell_length_a 4.151
_cell_length_b 4.151
_cell_length_c 5.921
_cell_angle_alpha 90.00
_cell_angle_beta 90.00
_cell_angle_gamma 90.00
loop_
_atom_site_label
_atom_site_type_symbol
_atom_site_fract_x
_atom_site_fract_y
_atom_site_fract_z
Ti1 Ti 0.000 0.500 0.239
Co1 Co 0.000 0.000 0.000
Co2 Co 0.500 0.500 0.500
Ni1 Ni 0.000 0.000 0.500
# Calculated formation energy (meV per atom): -226

Entry 3:
# Ti2Co2Ni, relaxed, DFT PBE
data_Ti2Co2Ni
_chemical_formula_sum 'Ti4 Co4 Ni2'
_symmetry_space_group_name_H-M 'I 4/m m m'
_symmetry_Int_Tables_number 139
_symmetry_space_group_name_Hall '-I 4 2'
_cell_length_a 4.419
_cell_length_b 4.419
_cell_length_c 7.139
_cell_angle_alpha 90.00
_cell_angle_beta 90.00
_cell_angle_gamma 90.00
loop_
_atom_site_label
_atom_site_type_symbol
_atom_site_fract_x
_atom_site_fract_y
_atom_site_fract_z
Ti1 Ti 0.000 0.500 0.250
Co1 Co 0.000 0.000 0.151
Ni1 Ni 0.000 0.000 0.500
# Calculated formation energy (meV per atom): 66

Entry 4:
# Ti6Co5Ni, relaxed, DFT PBE
data_Ti6Co5Ni
_chemical_formula_sum 'Ti12 Co10 Ni2'
_symmetry_space_group_name_H-M 'C 1 2/m 1'
_symmetry_Int_Tables_number 12
_symmetry_space_group_name_Hall '-C 2y'
_cell_length_a 13.346
_cell_length_b 5.943
_cell_length_c 4.227
_cell_angle_alpha 90.00
_cell_angle_beta 108.23
_cell_angle_gamma 90.00
loop_
_atom_site_label
_atom_site_type_symbol
_atom_site_fract_x
_atom_site_fract_y
_atom_site_fract_z
Ti1 Ti 0.000 0.250 0.000
Ti2 Ti 0.167 0.250 0.667
Co1 Co 0.000 0.000 0.500
Co2 Co 0.166 0.000 0.166
Co3 Co 0.169 0.500 0.169
Ni1 Ni 0.000 0.500 0.500
# Calculated formation energy (meV per atom): -378

Entry 5:
# Ti8CoNi2, relaxed, DFT PBE
data_Ti8CoNi2
_chemical_formula_sum 'Ti16 Co2 Ni4'
_symmetry_space_group_name_H-M 'C 1 2/m 1'
_symmetry_Int_Tables_number 12
_symmetry_space_group_name_Hall '-C 2y'
_cell_length_a 13.653
_cell_length_b 4.310
_cell_length_c 6.242
_cell_angle_alpha 90.00
_cell_angle_beta 113.80
_cell_angle_gamma 90.00
loop_
_atom_site_label
_atom_site_type_symbol
_atom_site_fract_x
_atom_site_fract_y
_atom_site_fract_z
Ti1 Ti 0.035 0.000 0.268
Ti2 Ti 0.090 0.500 0.940
Ti3 Ti 0.171 0.500 0.455
Ti4 Ti 0.182 0.000 0.772
Co1 Co 0.000 0.500 0.500
Ni1 Ni 0.189 0.000 0.156
# Calculated formation energy (meV per atom): -170

Entry 6:
# Ti5Co4Ni, relaxed, DFT PBE
data_Ti5Co4Ni
_chemical_formula_sum 'Ti5 Co4 Ni1'
_symmetry_space_group_name_H-M 'P 4/m m m'
_symmetry_Int_Tables_number 123
_symmetry_space_group_name_Hall '-P 4 2'
_cell_length_a 2.968
_cell_length_b 2.968
_cell_length_c 15.004
_cell_angle_alpha 90.00
_cell_angle_beta 90.00
_cell_angle_gamma 90.00
loop_
_atom_site_label
_atom_site_type_symbol
_atom_site_fract_x
_atom_site_fract_y
_atom_site_fract_z
Ti1 Ti 0.000 0.000 0.000
Ti2 Ti 0.000 0.000 0.198
Ti3 Ti 0.000 0.000 0.396
Co1 Co 0.500 0.500 0.098
Co2 Co 0.500 0.500 0.295
Ni1 Ni 0.500 0.500 0.500
# Calculated formation energy (meV per atom): -377

Entry 7:
# TiCoNi3, relaxed, DFT PBE
data_TiCoNi3
_chemical_formula_sum 'Ti4 Co4 Ni12'
_symmetry_space_group_name_H-M 'P 21 3'
_symmetry_Int_Tables_number 198
_symmetry_space_group_name_Hall 'P 2ac 2ab 3'
_cell_length_a 6.194
_cell_length_b 6.194
_cell_length_c 6.194
_cell_angle_alpha 90.00
_cell_angle_beta 90.00
_cell_angle_gamma 90.00
loop_
_atom_site_label
_atom_site_type_symbol
_atom_site_fract_x
_atom_site_fract_y
_atom_site_fract_z
Ti1 Ti 0.188 0.188 0.188
Co1 Co 0.056 0.944 0.444
Ni1 Ni 0.051 0.123 0.795
# Calculated formation energy (meV per atom): -142

Entry 8:
# TiCoNi3, relaxed, DFT PBE
data_TiCoNi3
_chemical_formula_sum 'Ti1 Co1 Ni3'
_symmetry_space_group_name_H-M 'P m -3 m'
_symmetry_Int_Tables_number 221
_symmetry_space_group_name_Hall '-P 4 2 3'
_cell_length_a 4.223
_cell_length_b 4.223
_cell_length_c 4.223
_cell_angle_alpha 90.00
_cell_angle_beta 90.00
_cell_angle_gamma 90.00
loop_
_atom_site_label
_atom_site_type_symbol
_atom_site_fract_x
_atom_site_fract_y
_atom_site_fract_z
Ti1 Ti 0.000 0.000 0.000
Co1 Co 0.500 0.500 0.500
Ni1 Ni 0.000 0.500 0.500
# Calculated formation energy (meV per atom): 790

Entry 9:
# Ti5CoNi4, relaxed, DFT PBE
data_Ti5CoNi4
_chemical_formula_sum 'Ti5 Co1 Ni4'
_symmetry_space_group_name_H-M 'P 4/m m m'
_symmetry_Int_Tables_number 123
_symmetry_space_group_name_Hall '-P 4 2'
_cell_length_a 3.006
_cell_length_b 3.006
_cell_length_c 14.980
_cell_angle_alpha 90.00
_cell_angle_beta 90.00
_cell_angle_gamma 90.00
loop_
_atom_site_label
_atom_site_type_symbol
_atom_site_fract_x
_atom_site_fract_y
_atom_site_fract_z
Ti1 Ti 0.000 0.000 0.000
Ti2 Ti 0.000 0.000 0.201
Ti3 Ti 0.000 0.000 0.402
Co1 Co 0.500 0.500 0.500
Ni1 Ni 0.500 0.500 0.101
Ni2 Ni 0.500 0.500 0.302
# Calculated formation energy (meV per atom): -357

Entry 10:
# Ti7Co4Ni, relaxed, DFT PBE
data_Ti7Co4Ni
_chemical_formula_sum 'Ti14 Co8 Ni2'
_symmetry_space_group_name_H-M 'C 1 2/m 1'
_symmetry_Int_Tables_number 12
_symmetry_space_group_name_Hall '-C 2y'
_cell_length_a 12.242
_cell_length_b 4.583
_cell_length_c 7.880
_cell_angle_alpha 90.00
_cell_angle_beta 128.23
_cell_angle_gamma 90.00
loop_
_atom_site_label
_atom_site_type_symbol
_atom_site_fract_x
_atom_site_fract_y
_atom_site_fract_z
Ti1 Ti 0.000 0.000 0.000
Ti2 Ti 0.054 0.500 0.370
Ti3 Ti 0.226 0.000 0.685
Ti4 Ti 0.237 0.500 0.913
Co1 Co 0.038 0.000 0.703
Co2 Co 0.203 0.000 0.360
Ni1 Ni 0.000 0.500 0.000
# Calculated formation energy (meV per atom): -80

Entry 11:
# Ti3CoNi2, relaxed, DFT PBE
data_Ti3CoNi2
_chemical_formula_sum 'Ti6 Co2 Ni4'
_symmetry_space_group_name_H-M 'P -3 m 1'
_symmetry_Int_Tables_number 164
_symmetry_space_group_name_Hall '-P 3 2"'
_cell_length_a 4.2110
_cell_length_b 4.2110
_cell_length_c 10.5385
_cell_angle_alpha 90.00
_cell_angle_beta 90.00
_cell_angle_gamma 120.00
loop_
_atom_site_label
_atom_site_type_symbol
_atom_site_fract_x
_atom_site_fract_y
_atom_site_fract_z
Ti1 Ti 0.0000 0.0000 0.2467
Ti2 Ti 0.3333 0.6667 0.4081
Ti3 Ti 0.3333 0.6667 0.9119
Co1 Co 0.3333 0.6667 0.1518
Ni1 Ni 0.0000 0.0000 0.0000
Ni2 Ni 0.0000 0.0000 0.5000
Ni3 Ni 0.3333 0.6667 0.6457
# Calculated formation energy (meV per atom): -364

Entry 12:
# Ti12Co6Ni, relaxed, DFT PBE
data_Ti12Co6Ni
_chemical_formula_sum 'Ti36 Co18 Ni3'
_symmetry_space_group_name_H-M 'R -3'
_symmetry_Int_Tables_number 148
_symmetry_space_group_name_Hall '-R 3'
_cell_length_a 10.6633
_cell_length_b 10.6633
_cell_length_c 9.6878
_cell_angle_alpha 90.00
_cell_angle_beta 90.00
_cell_angle_gamma 120.00
loop_
_atom_site_label
_atom_site_type_symbol
_atom_site_fract_x
_atom_site_fract_y
_atom_site_fract_z
Ti1 Ti 0.0308 0.2176 0.3927
Ti2 Ti 0.0410 0.2138 0.8875
Co1 Co 0.0482 0.2641 0.6480
Ni1 Ni 0.0000 0.0000 0.0000
# Calculated formation energy (meV per atom): 50

Entry 13:
# Ti6CoNi8, relaxed, DFT PBE
data_Ti6CoNi8
_chemical_formula_sum 'Ti18 Co3 Ni24'
_symmetry_space_group_name_H-M 'R -3'
_symmetry_Int_Tables_number 148
_symmetry_space_group_name_Hall '-R 3'
_cell_length_a 6.7639
_cell_length_b 6.7639
_cell_length_c 15.3043
_cell_angle_alpha 90.00
_cell_angle_beta 90.00
_cell_angle_gamma 120.00
loop_
_atom_site_label
_atom_site_type_symbol
_atom_site_fract_x
_atom_site_fract_y
_atom_site_fract_z
Ti1 Ti 0.0031 0.7380 0.3887
Co1 Co 0.0000 0.0000 0.0000
Ni1 Ni 0.0000 0.0000 0.2556
Ni2 Ni 0.0136 0.7605 0.8826
# Calculated formation energy (meV per atom): -179

Entry 14:
# TiCo4Ni, relaxed, DFT PBE
data_TiCo4Ni
_chemical_formula_sum 'Ti4 Co16 Ni4'
_symmetry_space_group_name_H-M 'F -4 3 m'
_symmetry_Int_Tables_number 216
_symmetry_space_group_name_Hall 'F -4 2 3'
_cell_length_a 6.596
_cell_length_b 6.596
_cell_length_c 6.596
_cell_angle_alpha 90.00
_cell_angle_beta 90.00
_cell_angle_gamma 90.00
loop_
_atom_site_label
_atom_site_type_symbol
_atom_site_fract_x
_atom_site_fract_y
_atom_site_fract_z
Ti1 Ti 0.000 0.000 0.000
Co1 Co 0.124 0.124 0.376
Ni1 Ni 0.250 0.250 0.750
# Calculated formation energy (meV per atom): -115

Entry 15:
# Ti3Co2Ni2, relaxed, DFT PBE
data_Ti3Co2Ni2
_chemical_formula_sum 'Ti3 Co2 Ni2'
_symmetry_space_group_name_H-M 'P -1'
_symmetry_Int_Tables_number 2
_symmetry_space_group_name_Hall '-P 1'
_cell_length_a 3.782
_cell_length_b 4.518
_cell_length_c 5.948
_cell_angle_alpha 80.11
_cell_angle_beta 89.97
_cell_angle_gamma 65.28
loop_
_atom_site_label
_atom_site_type_symbol
_atom_site_fract_x
_atom_site_fract_y
_atom_site_fract_z
Ti1 Ti 0.000 0.000 0.000
Ti2 Ti 0.392 0.215 0.301
Co1 Co 0.134 0.734 0.425
Ni1 Ni 0.303 0.394 0.862
# Calculated formation energy (meV per atom): -287

Entry 16:
# Ti7Co2Ni2, relaxed, DFT PBE
data_Ti7Co2Ni2
_chemical_formula_sum 'Ti14 Co4 Ni4'
_symmetry_space_group_name_H-M 'C m m m'
_symmetry_Int_Tables_number 65
_symmetry_space_group_name_Hall '-C 2 2'
_cell_length_a 6.223
_cell_length_b 9.209
_cell_length_c 6.115
_cell_angle_alpha 90.00
_cell_angle_beta 90.00
_cell_angle_gamma 90.00
loop_
_atom_site_label
_atom_site_type_symbol
_atom_site_fract_x
_atom_site_fract_y
_atom_site_fract_z
Ti1 Ti 0.000 0.000 0.000
Ti2 Ti 0.000 0.500 0.261
Ti3 Ti 0.250 0.250 0.273
Co1 Co 0.000 0.294 0.000
Ni1 Ni 0.182 0.000 0.500
# Calculated formation energy (meV per atom): 34

Entry 17:
# Ti7CoNi5, relaxed, DFT PBE
data_Ti7CoNi5
_chemical_formula_sum 'Ti14 Co2 Ni10'
_symmetry_space_group_name_H-M 'I m m 2'
_symmetry_Int_Tables_number 44
_symmetry_space_group_name_Hall 'I 2 -2'
_cell_length_a 4.902
_cell_length_b 8.529
_cell_length_c 8.782
_cell_angle_alpha 90.00
_cell_angle_beta 90.00
_cell_angle_gamma 90.00
loop_
_atom_site_label
_atom_site_type_symbol
_atom_site_fract_x
_atom_site_fract_y
_atom_site_fract_z
Ti1 Ti 0.000 0.000 0.000
Ti2 Ti 0.000 0.000 0.368
Ti3 Ti 0.000 0.301 0.552
Ti4 Ti 0.000 0.343 0.019
Ti5 Ti 0.000 0.500 0.290
Co1 Co 0.000 0.000 0.641
Ni1 Ni 0.000 0.500 0.760
Ni2 Ni 0.248 0.239 0.789
# Calculated formation energy (meV per atom): -251

Entry 18:
# Ti12CoNi6, relaxed, DFT PBE
data_Ti12CoNi6
_chemical_formula_sum 'Ti36 Co3 Ni18'
_symmetry_space_group_name_H-M 'R -3'
_symmetry_Int_Tables_number 148
_symmetry_space_group_name_Hall '-R 3'
_cell_length_a 10.6936
_cell_length_b 10.6936
_cell_length_c 9.7916
_cell_angle_alpha 90.00
_cell_angle_beta 90.00
_cell_angle_gamma 120.00
loop_
_atom_site_label
_atom_site_type_symbol
_atom_site_fract_x
_atom_site_fract_y
_atom_site_fract_z
Ti1 Ti 0.0300 0.8151 0.3938
Ti2 Ti 0.0433 0.8376 0.8851
Co1 Co 0.0000 0.0000 0.0000
Ni1 Ni 0.0465 0.7796 0.6435
# Calculated formation energy (meV per atom): 82

Entry 19:
# Ti3Co3Ni, relaxed, DFT PBE
data_Ti3Co3Ni
_chemical_formula_sum 'Ti12 Co12 Ni4'
_symmetry_space_group_name_H-M 'C 1 2/m 1'
_symmetry_Int_Tables_number 12
_symmetry_space_group_name_Hall '-C 2y'
_cell_length_a 7.810
_cell_length_b 8.148
_cell_length_c 6.036
_cell_angle_alpha 90.00
_cell_angle_beta 90.01
_cell_angle_gamma 90.00
loop_
_atom_site_label
_atom_site_type_symbol
_atom_site_fract_x
_atom_site_fract_y
_atom_site_fract_z
Ti1 Ti 0.000 0.000 0.247
Ti2 Ti 0.250 0.249 0.252
Co1 Co 0.000 0.247 0.000
Co2 Co 0.000 0.251 0.500
Co3 Co 0.239 0.500 0.499
Ni1 Ni 0.210 0.500 0.001
# Calculated formation energy (meV per atom): -132

Entry 20:
# Ti2Co2Ni, relaxed, DFT PBE
data_Ti2Co2Ni
_chemical_formula_sum 'Ti4 Co4 Ni2'
_symmetry_space_group_name_H-M 'P 4/m b m'
_symmetry_Int_Tables_number 127
_symmetry_space_group_name_Hall '-P 4 2ab'
_cell_length_a 6.886
_cell_length_b 6.886
_cell_length_c 2.795
_cell_angle_alpha 90.00
_cell_angle_beta 90.00
_cell_angle_gamma 90.00
loop_
_atom_site_label
_atom_site_type_symbol
_atom_site_fract_x
_atom_site_fract_y
_atom_site_fract_z
Ti1 Ti 0.157 0.343 0.000
Co1 Co 0.142 0.642 0.500
Ni1 Ni 0.000 0.000 0.000
# Calculated formation energy (meV per atom): -100

Entry 21:
# TiCoNi6, relaxed, DFT PBE
data_TiCoNi6
_chemical_formula_sum 'Ti2 Co2 Ni12'
_symmetry_space_group_name_H-M 'C 1 2/m 1'
_symmetry_Int_Tables_number 12
_symmetry_space_group_name_Hall '-C 2y'
_cell_length_a 7.172
_cell_length_b 4.681
_cell_length_c 6.469
_cell_angle_alpha 90.00
_cell_angle_beta 108.53
_cell_angle_gamma 90.00
loop_
_atom_site_label
_atom_site_type_symbol
_atom_site_fract_x
_atom_site_fract_y
_atom_site_fract_z
Ti1 Ti 0.000 0.000 0.000
Co1 Co 0.000 0.500 0.500
Ni1 Ni 0.146 0.000 0.443
Ni2 Ni 0.196 0.243 0.800
# Calculated formation energy (meV per atom): 161

no.,electronic total energy (eV for the cell shown)
1,-147.09
2,-53.15
3,-70.91
4,-186.42
5,-167.40
6,-77.45
7,-132.22
8,-28.40
9,-73.27
10,-180.86
11,-89.08
12,-426.64
13,-310.23
14,-171.16
15,-51.47
16,-161.33
17,-189.09
18,-404.91
19,-206.83
20,-72.57
21,-96.81